# 1
The following is a DFT calculation (PBE) of crystalline Ga3MoS at its relaxed geometry.

Computed properties:
The total magnetic moment comes out at 2.782 μB/f.u. The calculation puts the calculated volume at 24.91 A^3/atom. The calculation puts the distance to the lowest polymorph of the same formula at 0 meV/atom. Its formation energy (no corrections) is 0.6872 eV/atom. The density of states at the Fermi level is 3.0 states/eV/f.u. As for the space-group type: No. 221. For the electronic total energy, the calculation gives -4.121 eV per atom. The value obtained for the density is 4.496 Mg/m³.

Lattice parameters (Å, degrees): 4.994 4.994 4.994 90.00 90.00 90.00
Fractional positions:
Ga 0.000 0.000 0.500
Ga 0.000 0.500 0.000
Ga 0.500 0.000 0.000
Mo 0.000 0.000 0.000
S 0.500 0.500 0.500

# 2
The following is a DFT calculation (PBE) of crystalline GaMo3S at its relaxed geometry.

Computed properties:
The total magnetic moment comes out at 0.000 μB/f.u. The calculation puts the calculated volume at 17.20 A^3/atom. The calculation puts the distance to the lowest polymorph of the same formula at 0 meV/atom. Its formation energy (no corrections) is 0.4239 eV/atom. The density of states at the Fermi level is 4.5 states/eV/f.u. As for the space-group type: No. 221. For the electronic total energy, the calculation gives -7.506 eV per atom. The value obtained for the density is 7.522 Mg/m³.

Lattice parameters (Å, degrees): 4.414 4.414 4.414 90.00 90.00 90.00
Fractional positions:
Ga 0.000 0.000 0.000
Mo 0.000 0.500 0.500
Mo 0.500 0.000 0.500
Mo 0.500 0.500 0.000
S 0.500 0.500 0.500

# 3
The following is a DFT calculation (PBE) of crystalline GaMoS at its relaxed geometry.

Computed properties:
The total magnetic moment comes out at 0.001 μB/f.u. The calculation puts the calculated volume at 16.94 A^3/atom. Its formation energy (no corrections) is -0.2165 eV/atom. The density of states at the Fermi level is 3.1 states/eV/f.u. As for the space-group type: No. 129. For the electronic total energy, the calculation gives -6.212 eV per atom. The value obtained for the density is 6.462 Mg/m³.

Lattice parameters (Å, degrees): 3.147 3.147 10.259 90.00 90.00 90.00
Fractional positions:
Ga 0.250 0.250 0.070
Ga 0.750 0.750 0.930
Mo 0.250 0.250 0.774
Mo 0.750 0.750 0.226
S 0.250 0.250 0.342
S 0.750 0.750 0.658

# 4
The following is a DFT calculation (PBE) of crystalline ScGaMoS2 at its relaxed geometry.

Computed properties:
The total magnetic moment comes out at 4.927 μB/f.u. The calculation puts the calculated volume at 26.30 A^3/atom. Its formation energy (no corrections) is 0.5021 eV/atom. The density of states at the Fermi level is 3.4 states/eV/f.u. As for the space-group type: No. 123. For the electronic total energy, the calculation gives -5.187 eV per atom. The value obtained for the density is 3.470 Mg/m³.

Lattice parameters (Å, degrees): 4.898 4.898 5.480 90.00 90.00 90.00
Fractional positions:
Sc 0.000 0.000 0.000
Ga 0.500 0.500 0.500
Mo 0.000 0.000 0.500
S 0.000 0.500 0.000
S 0.500 0.000 0.000

# 5
The following is a DFT calculation (PBE) of crystalline GaMo4Se4S4 at its relaxed geometry.

Computed properties:
The total magnetic moment comes out at 1.054 μB/f.u. The calculation puts the calculated volume at 20.20 A^3/atom. Its formation energy (no corrections) is -0.7130 eV/atom. The density of states at the Fermi level is 13.3 states/eV/f.u. As for the space-group type: No. 216. For the electronic total energy, the calculation gives -6.621 eV per atom. The value obtained for the density is 5.675 Mg/m³.

Lattice parameters (Å, degrees): 7.188 7.188 7.188 60.00 60.00 60.00
Fractional positions:
Ga 0.000 0.000 0.000
Mo 0.401 0.401 0.401
Mo 0.401 0.401 0.796
Mo 0.401 0.796 0.401
Mo 0.796 0.401 0.401
Se 0.137 0.137 0.137
Se 0.137 0.137 0.589
Se 0.137 0.589 0.137
Se 0.589 0.137 0.137
S 0.111 0.630 0.630
S 0.630 0.111 0.630
S 0.630 0.630 0.111
S 0.630 0.630 0.630

# 6
The following is a DFT calculation (PBE) of crystalline TiGa2MoS at its relaxed geometry.

Computed properties:
The total magnetic moment comes out at 3.746 μB/f.u. The calculation puts the calculated volume at 22.35 A^3/atom. Its formation energy (no corrections) is 0.7285 eV/atom. The density of states at the Fermi level is 3.7 states/eV/f.u. As for the space-group type: No. 123. For the electronic total energy, the calculation gives -5.053 eV per atom. The value obtained for the density is 4.685 Mg/m³.

Lattice parameters (Å, degrees): 4.984 4.984 4.499 90.00 90.00 90.00
Fractional positions:
Ti 0.000 0.000 0.000
Ga 0.000 0.500 0.000
Ga 0.500 0.000 0.000
Mo 0.500 0.500 0.500
S 0.000 0.000 0.500

# 7
The following is a DFT calculation (PBE) of crystalline TlGaMo2S at its relaxed geometry.

Computed properties:
The total magnetic moment comes out at 2.098 μB/f.u. The calculation puts the calculated volume at 20.10 A^3/atom. Its formation energy (no corrections) is 0.7177 eV/atom. The density of states at the Fermi level is 3.6 states/eV/f.u. As for the space-group type: No. 123. For the electronic total energy, the calculation gives -5.519 eV per atom. The value obtained for the density is 8.228 Mg/m³.

Lattice parameters (Å, degrees): 4.528 4.528 4.902 90.00 90.00 90.00
Fractional positions:
Tl 0.000 0.000 0.000
Ga 0.500 0.500 0.000
Mo 0.000 0.500 0.500
Mo 0.500 0.000 0.500
S 0.500 0.500 0.500

# 8
The following is a DFT calculation (PBE) of crystalline VGaMo3S8 at its relaxed geometry.

Computed properties:
The total magnetic moment comes out at 2.083 μB/f.u. The calculation puts the calculated volume at 18.09 A^3/atom. Its formation energy (no corrections) is -0.8085 eV/atom. The density of states at the Fermi level is 2.1 states/eV/f.u. As for the space-group type: No. 160. For the electronic total energy, the calculation gives -6.782 eV per atom. The value obtained for the density is 4.695 Mg/m³.

Lattice parameters (Å, degrees): 6.978 6.978 6.978 59.07 59.07 59.07
Fractional positions:
V 0.000 0.000 0.000
Ga 0.608 0.608 0.608
Mo 0.008 0.008 0.411
Mo 0.008 0.411 0.008
Mo 0.411 0.008 0.008
S 0.199 0.743 0.743
S 0.232 0.232 0.712
S 0.232 0.712 0.232
S 0.242 0.242 0.242
S 0.712 0.232 0.232
S 0.743 0.199 0.743
S 0.743 0.743 0.199
S 0.743 0.743 0.743

# 9
The following is a DFT calculation (PBE) of crystalline GaSb3Mo at its relaxed geometry.

Computed properties:
The total magnetic moment comes out at 3.520 μB/f.u. The calculation puts the calculated volume at 28.55 A^3/atom. The calculation puts the distance to the lowest polymorph of the same formula at 691 meV/atom. Its formation energy (no corrections) is 1.1864 eV/atom. The density of states at the Fermi level is 3.7 states/eV/f.u. As for the space-group type: No. 221. For the electronic total energy, the calculation gives -4.059 eV per atom. The value obtained for the density is 6.176 Mg/m³.

Lattice parameters (Å, degrees): 5.226 5.226 5.226 90.00 90.00 90.00
Fractional positions:
Ga 0.000 0.000 0.000
Sb 0.000 0.000 0.500
Sb 0.000 0.500 0.000
Sb 0.500 0.000 0.000
Mo 0.500 0.500 0.500

# 10
The following is a DFT calculation (PBE) of crystalline GaSb3Mo at its relaxed geometry.

Computed properties:
The total magnetic moment comes out at 0.000 μB/f.u. The calculation puts the calculated volume at 29.39 A^3/atom. The calculation puts the distance to the lowest polymorph of the same formula at 0 meV/atom. Its formation energy (no corrections) is 0.4952 eV/atom. The density of states at the Fermi level is 4.2 states/eV/f.u. As for the space-group type: No. 221. For the electronic total energy, the calculation gives -4.750 eV per atom. The value obtained for the density is 6.000 Mg/m³.

Lattice parameters (Å, degrees): 5.277 5.277 5.277 90.00 90.00 90.00
Fractional positions:
Ga 0.000 0.000 0.000
Sb 0.000 0.500 0.500
Sb 0.500 0.000 0.500
Sb 0.500 0.500 0.000
Mo 0.500 0.500 0.500

# 11
The following is a DFT calculation (PBE) of crystalline Ga2SbMo at its relaxed geometry.

Computed properties:
The total magnetic moment comes out at 1.014 μB/f.u. The calculation puts the calculated volume at 20.37 A^3/atom. Its formation energy (no corrections) is 0.5083 eV/atom. The density of states at the Fermi level is 3.4 states/eV/f.u. As for the space-group type: No. 122. For the electronic total energy, the calculation gives -4.744 eV per atom. The value obtained for the density is 7.277 Mg/m³.

Lattice parameters (Å, degrees): 6.104 6.104 6.104 101.61 101.61 126.69
Fractional positions:
Ga 0.095 0.625 0.970
Ga 0.375 0.345 0.470
Ga 0.655 0.125 0.030
Ga 0.875 0.905 0.530
Sb 0.250 0.750 0.500
Sb 0.500 0.500 0.000
Mo 0.000 0.000 0.000
Mo 0.750 0.250 0.500

# 12
The following is a DFT calculation (PBE) of crystalline GaSb2Mo at its relaxed geometry.

Computed properties:
The total magnetic moment comes out at 1.662 μB/f.u. The calculation puts the calculated volume at 30.46 A^3/atom. Its formation energy (no corrections) is 0.5191 eV/atom. The density of states at the Fermi level is 2.5 states/eV/f.u. As for the space-group type: No. 122. For the electronic total energy, the calculation gives -5.007 eV per atom. The value obtained for the density is 5.577 Mg/m³.

Lattice parameters (Å, degrees): 7.604 7.604 7.604 131.19 131.19 71.51
Fractional positions:
Ga 0.000 0.000 0.000
Ga 0.750 0.250 0.500
Sb 0.136 0.625 0.011
Sb 0.375 0.386 0.511
Sb 0.614 0.125 0.989
Sb 0.875 0.864 0.489
Mo 0.250 0.750 0.500
Mo 0.500 0.500 0.000